Material: Hg2SbRh
Method: DFT, PBE-GGA
State: relaxed

Unit cell a=5.285 b=5.285 c=5.285 alpha=130.78 beta=130.78 gamma=72.16
Sites, in units of the cell vectors:
Hg (0.000, 0.000, 0.000)
Hg (0.250, 0.750, 0.500)
Sb (0.750, 0.250, 0.500)
Rh (0.500, 0.500, 0.000)

energy relative to the elements, uncorrected = 0.227 eV/atom
symmetry = I-4m2 (119)
crystal system = tetragonal
spin magnetization = 0.00 μB/f.u.

Material: CsPdO3
Method: DFT, PBE-GGA
State: relaxed

Unit cell a=3.215 b=4.003 c=6.246 alpha=90.00 beta=90.00 gamma=90.00
Each line ends with the local moment (μB).
Sites, in units of the cell vectors:
Cs (0.000, 0.500, 0.500)  0.01
Pd (0.000, 0.000, 0.000)  0.37
O (0.500, 0.000, 0.206)  0.13
O (0.500, 0.000, 0.794)  0.13
O (0.000, 0.500, 0.000)  0.52

energy relative to the elements, uncorrected = -0.457 eV/atom
symmetry = Pmmm (47)
crystal system = orthorhombic
spin magnetization = 1.33 μB/f.u.

Material: BaMgCl
Method: DFT, PBE-GGA
State: relaxed

Unit cell a=5.301 b=5.301 c=5.140 alpha=90.00 beta=90.00 gamma=120.00
Sites, in units of the cell vectors:
Ba (0.000, 0.000, 0.170)
Cl (0.667, 0.333, 0.158)
Mg (0.333, 0.667, 0.671)

energy relative to the elements, uncorrected = -0.851 eV/atom
symmetry = P3m1 (156)
crystal system = trigonal
spin magnetization = 0.30 μB/f.u.
energy relative to the lowest polymorph listed for this composition = 40 meV per atom

Material: Te5Ir
Method: DFT, PBE-GGA
State: relaxed

Unit cell a=6.176 b=6.176 c=6.176 alpha=60.00 beta=60.00 gamma=60.00
Each line ends with the local moment (μB).
Sites, in units of the cell vectors:
Te (0.250, 0.250, 0.250)  0.10
Te (0.626, 0.626, 0.626)  0.02
Te (0.626, 0.626, 0.122)  0.02
Te (0.122, 0.626, 0.626)  0.02
Te (0.626, 0.122, 0.626)  0.02
Ir (0.000, 0.000, 0.000)  1.24

energy relative to the elements, uncorrected = 1.167 eV/atom
symmetry = F-43m (216)
crystal system = cubic
spin magnetization = 1.62 μB/f.u.
energy relative to the lowest polymorph listed for this composition = 1282 meV per atom

Material: ReSn2H
Method: DFT, PBE-GGA
State: relaxed

Unit cell a=5.211 b=5.211 c=7.012 alpha=68.19 beta=68.19 gamma=90.00
Sites, in units of the cell vectors:
Re (0.000, 0.000, 0.000)
Re (0.750, 0.250, 0.500)
Sn (0.544, 0.125, 0.250)
Sn (0.206, 0.625, 0.250)
Sn (0.375, 0.456, 0.750)
Sn (0.875, 0.794, 0.750)
H (0.500, 0.500, 0.000)
H (0.250, 0.750, 0.500)

symmetry = I-42d (122)
crystal system = tetragonal
spin magnetization = 0.00 μB/f.u.
energy relative to the lowest polymorph listed for this composition = 207 meV per atom

Material: Tb2PrSmSe4
Method: DFT, PBE-GGA
State: relaxed

Unit cell a=4.096 b=7.311 c=7.170 alpha=71.28 beta=90.00 gamma=90.00
Sites, in units of the cell vectors:
Tb (0.000, 0.000, 0.000)
Tb (0.500, 0.000, 0.500)
Pr (0.500, 0.500, 0.000)
Sm (0.000, 0.500, 0.500)
Se (0.000, 0.763, 0.742)
Se (0.000, 0.237, 0.258)
Se (0.500, 0.760, 0.250)
Se (0.500, 0.240, 0.750)

energy relative to the elements, uncorrected = -1.802 eV/atom
symmetry = P2/m (10)
crystal system = monoclinic
spin magnetization = 0.00 μB/f.u.

Material: TeRh3I
Method: DFT, PBE-GGA
State: relaxed

Unit cell a=4.911 b=4.911 c=4.911 alpha=90.00 beta=90.00 gamma=90.00
Sites, in units of the cell vectors:
I (0.500, 0.500, 0.500)
Te (0.000, 0.000, 0.000)
Rh (0.000, 0.500, 0.000)
Rh (0.000, 0.000, 0.500)
Rh (0.500, 0.000, 0.000)

energy relative to the elements, uncorrected = 0.812 eV/atom
symmetry = Pm-3m (221)
crystal system = cubic
spin magnetization = 0.00 μB/f.u.
energy relative to the lowest polymorph listed for this composition = 0 meV per atom

Material: RbNbGe3
Method: DFT, PBE-GGA
State: relaxed

Unit cell a=5.231 b=5.231 c=5.231 alpha=90.00 beta=90.00 gamma=90.00
Sites, in units of the cell vectors:
Nb (0.500, 0.500, 0.500)
Ge (0.000, 0.500, 0.000)
Ge (0.000, 0.000, 0.500)
Ge (0.500, 0.000, 0.000)
Rb (0.000, 0.000, 0.000)

symmetry = Pm-3m (221)
crystal system = cubic
spin magnetization = 0.00 μB/f.u.
calculated formation energy = 2.28 eV per atom
energy relative to the lowest polymorph listed for this composition = 2245 meV per atom

Material: TbPa6Se8
Method: DFT, PBE-GGA
State: relaxed

Unit cell a=8.094 b=8.094 c=8.094 alpha=60.00 beta=60.00 gamma=60.00
Sites, in units of the cell vectors:
Tb (0.000, 0.000, 0.000)
Pa (0.000, 0.500, 0.500)
Pa (0.500, 0.000, 0.000)
Pa (0.500, 0.500, 0.000)
Pa (0.000, 0.000, 0.500)
Pa (0.000, 0.500, 0.000)
Pa (0.500, 0.000, 0.500)
Se (0.750, 0.750, 0.750)
Se (0.250, 0.250, 0.250)
Se (0.742, 0.258, 0.258)
Se (0.258, 0.742, 0.742)
Se (0.258, 0.258, 0.742)
Se (0.742, 0.742, 0.258)
Se (0.742, 0.258, 0.742)
Se (0.258, 0.742, 0.258)

energy relative to the elements, uncorrected = -1.355 eV/atom
symmetry = Fm-3m (225)
crystal system = cubic
spin magnetization = 0.00 μB/f.u.

Material: Y3Ta
Method: DFT, PBE-GGA
State: relaxed

Unit cell a=5.377 b=5.996 c=6.794 alpha=90.00 beta=90.00 gamma=90.00
Sites, in units of the cell vectors:
Y (0.500, 0.640, 0.000)
Y (0.000, 0.832, 0.251)
Y (0.500, 0.168, 0.249)
Y (0.000, 0.360, 0.500)
Y (0.000, 0.832, 0.749)
Y (0.500, 0.168, 0.751)
Ta (0.000, 0.322, 0.000)
Ta (0.500, 0.678, 0.500)

symmetry = Pmmn (59)
crystal system = orthorhombic
spin magnetization = 0.00 μB/f.u.
calculated formation energy = 0.30 eV per atom
energy relative to the lowest polymorph listed for this composition = 28 meV per atom

Material: KTl3In
Method: DFT, PBE-GGA
State: relaxed

Unit cell a=7.351 b=7.350 c=7.477 alpha=90.00 beta=90.00 gamma=59.90
Sites, in units of the cell vectors:
K (0.030, 0.233, 0.052)
K (0.530, 0.733, 0.552)
Tl (0.138, 0.342, 0.552)
Tl (0.422, 0.624, 0.052)
Tl (0.527, 0.236, 0.802)
Tl (0.527, 0.236, 0.303)
Tl (0.033, 0.730, 0.302)
Tl (0.033, 0.730, 0.803)
In (0.908, 0.110, 0.552)
In (0.653, 0.856, 0.052)

symmetry = Cmcm (63)
crystal system = orthorhombic
spin magnetization = 0.00 μB/f.u.
calculated formation energy = -0.07 eV per atom
energy relative to the lowest polymorph listed for this composition = 0 meV per atom

Material: Ho6Tm3In
Method: DFT, PBE-GGA
State: relaxed

Unit cell a=3.512 b=12.731 c=15.874 alpha=121.40 beta=90.00 gamma=90.00
Sites, in units of the cell vectors:
Ho (0.750, 0.597, 0.711)
Ho (0.250, 0.403, 0.289)
Ho (0.750, 0.859, 0.106)
Ho (0.250, 0.141, 0.894)
Ho (0.750, 0.381, 0.099)
Ho (0.250, 0.619, 0.901)
Ho (0.750, 0.663, 0.307)
Ho (0.250, 0.337, 0.693)
Ho (0.750, 0.115, 0.478)
Ho (0.250, 0.885, 0.522)
Ho (0.750, 0.879, 0.716)
Ho (0.250, 0.121, 0.284)
Tm (0.750, 0.388, 0.898)
Tm (0.250, 0.612, 0.102)
Tm (0.750, 0.617, 0.495)
Tm (0.250, 0.383, 0.505)
Tm (0.750, 0.124, 0.092)
Tm (0.250, 0.876, 0.908)
In (0.750, 0.119, 0.697)
In (0.250, 0.881, 0.303)

symmetry = P2_1/m (11)
crystal system = monoclinic
spin magnetization = 0.00 μB/f.u.
calculated formation energy = -0.03 eV per atom

Material: NaIn9Co2
Method: DFT, PBE-GGA
State: relaxed

Unit cell a=4.218 b=8.822 c=8.822 alpha=120.00 beta=90.00 gamma=90.00
Sites, in units of the cell vectors:
Na (0.000, 0.000, 0.000)
In (0.500, 0.793, 0.207)
In (0.000, 0.000, 0.500)
In (0.000, 0.500, 0.500)
In (0.500, 0.793, 0.585)
In (0.500, 0.207, 0.793)
In (0.500, 0.585, 0.793)
In (0.500, 0.207, 0.415)
In (0.000, 0.500, 0.000)
In (0.500, 0.415, 0.207)
Co (0.000, 0.667, 0.333)
Co (0.000, 0.333, 0.667)

symmetry = P6/mmm (191)
crystal system = hexagonal
spin magnetization = 0.00 μB/f.u.
calculated formation energy = -0.03 eV per atom

Material: Ba6Si7
Method: DFT, PBE-GGA
State: relaxed

Unit cell a=11.583 b=11.583 c=11.583 alpha=33.49 beta=33.49 gamma=33.49
Sites, in units of the cell vectors:
Si (0.817, 0.460, 0.460)
Si (0.460, 0.460, 0.817)
Si (0.460, 0.817, 0.460)
Si (0.183, 0.540, 0.540)
Si (0.540, 0.183, 0.540)
Si (0.540, 0.540, 0.183)
Si (0.500, 0.500, 0.500)
Ba (0.932, 0.932, 0.932)
Ba (0.068, 0.068, 0.068)
Ba (0.820, 0.820, 0.820)
Ba (0.180, 0.180, 0.180)
Ba (0.680, 0.680, 0.680)
Ba (0.320, 0.320, 0.320)

energy relative to the elements, uncorrected = -0.178 eV/atom
symmetry = R-3m (166)
crystal system = trigonal
spin magnetization = 0.22 μB/f.u.

Material: Li3NpPb2Se6
Method: DFT, PBE-GGA
State: relaxed

Unit cell a=7.394 b=7.394 c=6.839 alpha=99.58 beta=99.58 gamma=120.93
Each line ends with the local moment (μB).
Sites, in units of the cell vectors:
Li (0.145, 0.855, 0.500)  0.00
Li (0.855, 0.145, 0.500)  0.00
Li (0.500, 0.500, 0.500)  0.00
Np (0.000, 0.000, 0.000)  2.85
Pb (0.328, 0.672, 0.000)  -0.01
Pb (0.672, 0.328, 0.000)  -0.01
Se (0.917, 0.616, 0.739)  -0.10
Se (0.769, 0.769, 0.247)  -0.09
Se (0.083, 0.384, 0.261)  -0.10
Se (0.616, 0.917, 0.739)  -0.10
Se (0.231, 0.231, 0.753)  -0.09
Se (0.384, 0.083, 0.261)  -0.10

energy relative to the elements, uncorrected = -0.919 eV/atom
symmetry = C2/m (12)
crystal system = monoclinic
spin magnetization = 2.00 μB/f.u.

Material: La3TbSc3Se8
Method: DFT, PBE-GGA
State: relaxed

Unit cell a=8.060 b=8.061 c=8.265 alpha=119.19 beta=90.00 gamma=120.00
Sites, in units of the cell vectors:
La (0.000, 0.000, 0.000)
La (0.000, 0.500, 0.000)
La (0.500, 0.500, 0.000)
Tb (0.000, 0.000, 0.500)
Sc (0.500, 0.000, 0.500)
Sc (0.500, 0.500, 0.500)
Sc (0.000, 0.500, 0.500)
Se (0.261, 0.521, 0.282)
Se (0.739, 0.479, 0.718)
Se (0.748, 0.496, 0.270)
Se (0.252, 0.504, 0.730)
Se (0.748, 0.022, 0.270)
Se (0.252, 0.978, 0.730)
Se (0.274, 0.022, 0.270)
Se (0.726, 0.978, 0.730)

energy relative to the elements, uncorrected = -1.832 eV/atom
symmetry = R-3m (166)
crystal system = trigonal
spin magnetization = 0.00 μB/f.u.

Material: Na2BeAg
Method: DFT, PBE-GGA
State: relaxed

Unit cell a=3.821 b=3.821 c=11.005 alpha=80.00 beta=80.00 gamma=90.00
Sites, in units of the cell vectors:
Na (0.623, 0.125, 0.250)
Na (0.127, 0.625, 0.250)
Na (0.375, 0.377, 0.750)
Na (0.875, 0.873, 0.750)
Ag (0.000, 0.000, 0.000)
Ag (0.750, 0.250, 0.500)
Be (0.500, 0.500, 0.000)
Be (0.250, 0.750, 0.500)

symmetry = I-42d (122)
crystal system = tetragonal
spin magnetization = 0.00 μB/f.u.
calculated formation energy = 0.55 eV per atom

Material: CaEuIrSe
Method: DFT, PBE-GGA
State: relaxed

Unit cell a=5.064 b=5.064 c=5.064 alpha=60.00 beta=60.00 gamma=60.00
Each line ends with the local moment (μB).
Sites, in units of the cell vectors:
Eu (0.000, 0.000, 0.000)  6.70
Ca (0.500, 0.500, 0.500)  0.01
Ir (0.750, 0.750, 0.750)  -0.66
Se (0.250, 0.250, 0.250)  -0.15

energy relative to the elements, uncorrected = -0.717 eV/atom
symmetry = F-43m (216)
crystal system = cubic
spin magnetization = 6.02 μB/f.u.

Material: Be2HBr
Method: DFT, PBE-GGA
State: relaxed

Unit cell a=4.159 b=4.159 c=4.159 alpha=60.00 beta=60.00 gamma=60.00
Sites, in units of the cell vectors:
Be (0.250, 0.250, 0.250)
Be (0.750, 0.750, 0.750)
Br (0.500, 0.500, 0.500)
H (0.000, 0.000, 0.000)

symmetry = Fm-3m (225)
crystal system = cubic
spin magnetization = 0.00 μB/f.u.
energy relative to the lowest polymorph listed for this composition = 767 meV per atom

Material: CaGdZnIn
Method: DFT, PBE-GGA
State: relaxed

Unit cell a=5.287 b=5.287 c=5.287 alpha=60.00 beta=60.00 gamma=60.00
Each line ends with the local moment (μB).
Sites, in units of the cell vectors:
Zn (0.000, 0.000, 0.000)  -0.01
Gd (0.750, 0.750, 0.750)  7.02
Ca (0.250, 0.250, 0.250)  -0.01
In (0.500, 0.500, 0.500)  -0.03

symmetry = F-43m (216)
crystal system = cubic
spin magnetization = 7.06 μB/f.u.
calculated formation energy = -0.39 eV per atom

Material: HPdAu
Method: DFT, PBE-GGA
State: relaxed

Unit cell a=2.922 b=5.493 c=4.923 alpha=84.04 beta=90.00 gamma=105.43
Sites, in units of the cell vectors:
H (0.856, 0.711, 0.436)
H (0.144, 0.289, 0.564)
Pd (0.580, 0.161, 0.726)
Pd (0.420, 0.839, 0.274)
Au (0.846, 0.691, 0.816)
Au (0.154, 0.309, 0.184)

symmetry = C2/m (12)
crystal system = monoclinic
spin magnetization = 0.00 μB/f.u.
energy relative to the lowest polymorph listed for this composition = 62 meV per atom

Material: SrCrCu
Method: DFT, PBE-GGA
State: relaxed

Unit cell a=4.841 b=4.841 c=4.841 alpha=60.00 beta=60.00 gamma=60.00
Each line ends with the local moment (μB).
Sites, in units of the cell vectors:
Cr (0.500, 0.500, 0.500)  3.96
Cu (0.250, 0.250, 0.250)  0.05
Sr (0.000, 0.000, 0.000)  0.03

symmetry = F-43m (216)
crystal system = cubic
spin magnetization = 4.72 μB/f.u.
calculated formation energy = 0.61 eV per atom
energy relative to the lowest polymorph listed for this composition = 150 meV per atom

Material: Pm12NdRh7
Method: DFT, PBE-GGA
State: relaxed

Unit cell a=8.977 b=8.977 c=8.977 alpha=107.12 beta=107.12 gamma=107.12
Sites, in units of the cell vectors:
Pm (0.925, 0.305, 0.774)
Pm (0.695, 0.226, 0.075)
Pm (0.462, 0.158, 0.382)
Pm (0.842, 0.618, 0.538)
Pm (0.226, 0.075, 0.695)
Pm (0.618, 0.538, 0.842)
Pm (0.382, 0.462, 0.158)
Pm (0.774, 0.925, 0.305)
Pm (0.158, 0.382, 0.462)
Pm (0.538, 0.842, 0.618)
Pm (0.305, 0.774, 0.925)
Pm (0.075, 0.695, 0.226)
Nd (0.000, 0.000, 0.000)
Rh (0.961, 0.640, 0.877)
Rh (0.360, 0.123, 0.039)
Rh (0.123, 0.039, 0.360)
Rh (0.500, 0.500, 0.500)
Rh (0.877, 0.961, 0.640)
Rh (0.640, 0.877, 0.961)
Rh (0.039, 0.360, 0.123)

symmetry = R-3 (148)
crystal system = trigonal
spin magnetization = 0.00 μB/f.u.
calculated formation energy = -0.48 eV per atom

Material: Ge2PtSe2S2
Method: DFT, PBE-GGA
State: relaxed

Unit cell a=3.749 b=6.676 c=8.337 alpha=59.75 beta=89.98 gamma=73.68
Sites, in units of the cell vectors:
Ge (0.814, 0.371, 0.690)
Ge (0.186, 0.629, 0.310)
Pt (0.000, 0.000, 0.000)
Se (0.549, 0.903, 0.845)
Se (0.451, 0.097, 0.155)
S (0.827, 0.347, 0.419)
S (0.173, 0.653, 0.581)

energy relative to the elements, uncorrected = -0.269 eV/atom
symmetry = C2/m (12)
crystal system = monoclinic
spin magnetization = 0.00 μB/f.u.